[1]
The following is a DFT calculation (PBE) of a relaxed Th3Tl5 crystal.

Cell lengths 6.673, 6.673, 10.515 Å; angles 90.00, 90.00, 78.08 degrees
Fractional positions:
Th (0.113, 0.887, 0.750)
Th (0.289, 0.289, 0.000)
Th (0.289, 0.289, 0.500)
Th (0.711, 0.711, 0.000)
Th (0.711, 0.711, 0.500)
Th (0.887, 0.113, 0.250)
Tl (0.002, 0.565, 0.250)
Tl (0.202, 0.798, 0.043)
Tl (0.202, 0.798, 0.457)
Tl (0.435, 0.998, 0.250)
Tl (0.498, 0.502, 0.250)
Tl (0.502, 0.498, 0.750)
Tl (0.565, 0.002, 0.750)
Tl (0.798, 0.202, 0.543)
Tl (0.798, 0.202, 0.957)
Tl (0.998, 0.435, 0.750)

Computed properties:
Raw total energy   -70.49 eV per cell
Crystal system   orthorhombic
M_tot   0.01 μB per cell

[2]
The following is a DFT calculation (PBE) of a relaxed AcNd2O4 crystal.

Cell lengths 7.201, 7.201, 7.201 Å; angles 60.00, 60.00, 60.00 degrees
Fractional positions:
Ac (0.125, 0.125, 0.125)
Ac (0.875, 0.875, 0.875)
Nd (0.000, 0.500, 0.500)
Nd (0.500, 0.000, 0.500)
Nd (0.500, 0.500, 0.000)
Nd (0.500, 0.500, 0.500)
O (0.263, 0.263, 0.263)
O (0.263, 0.263, 0.711)
O (0.263, 0.711, 0.263)
O (0.289, 0.737, 0.737)
O (0.711, 0.263, 0.263)
O (0.737, 0.289, 0.737)
O (0.737, 0.737, 0.289)
O (0.737, 0.737, 0.737)

Computed properties:
Raw total energy   -110.17 eV per cell
Crystal system   cubic
M_tot   0.09 μB per cell

[3]
The following is a DFT calculation (PBE) of a relaxed AcAgBi2 crystal.

Cell lengths 4.734, 4.734, 10.892 Å; angles 90.00, 90.00, 90.00 degrees
Fractional positions:
Ac (0.250, 0.250, 0.249)
Ac (0.750, 0.750, 0.751)
Ag (0.250, 0.750, 0.000)
Ag (0.750, 0.250, 0.000)
Bi (0.250, 0.250, 0.829)
Bi (0.250, 0.750, 0.500)
Bi (0.750, 0.250, 0.500)
Bi (0.750, 0.750, 0.171)

Computed properties:
Raw total energy   -34.63 eV per cell
Crystal system   tetragonal
M_tot   0.01 μB per cell

[4]
The following is a DFT calculation (PBE) of a relaxed TbEr2In3Ir2Au crystal.

Cell lengths 3.853, 7.683, 7.683 Å; angles 120.30, 90.00, 90.00 degrees
Fractional positions:
Tb (0.000, 0.000, 0.000)
Er (0.000, 0.410, 0.819)
Er (0.000, 0.819, 0.410)
In (0.500, 0.140, 0.410)
In (0.500, 0.410, 0.140)
In (0.500, 0.678, 0.678)
Ir (0.500, 0.076, 0.740)
Ir (0.500, 0.740, 0.076)
Au (0.000, 0.410, 0.410)

Computed properties:
Raw total energy   -49.29 eV per cell
Crystal system   orthorhombic
M_tot   0.02 μB per cell

[5]
The following is a DFT calculation (PBE) of a relaxed Pr2SmP3 crystal.

Cell lengths 4.173, 4.173, 10.200 Å; angles 90.00, 90.00, 120.00 degrees
Fractional positions:
Pr (0.333, 0.667, 0.331)
Pr (0.667, 0.333, 0.669)
Sm (0.000, 0.000, 0.000)
P (0.000, 0.000, 0.500)
P (0.333, 0.667, 0.838)
P (0.667, 0.333, 0.162)

Computed properties:
Raw total energy   -39.70 eV per cell
Crystal system   trigonal
M_tot   0.00 μB per cell

[6]
The following is a DFT calculation (PBE) of a relaxed Li2Sc2Ga2PdPt crystal.

Cell lengths 4.478, 4.478, 6.333 Å; angles 90.00, 90.00, 90.00 degrees
Fractional positions:
Li (0.000, 0.000, 0.000)
Li (0.500, 0.500, 0.500)
Sc (0.000, 0.500, 0.249)
Sc (0.500, 0.000, 0.751)
Ga (0.000, 0.500, 0.750)
Ga (0.500, 0.000, 0.250)
Pd (0.000, 0.000, 0.500)
Pt (0.500, 0.500, 0.000)

Computed properties:
Raw total energy   -39.82 eV per cell
Crystal system   tetragonal
M_tot   0.00 μB per cell

[7]
The following is a DFT calculation (PBE) of a relaxed ZrSc crystal.

Cell lengths 6.478, 5.136, 8.599 Å; angles 90.00, 100.87, 90.00 degrees
Fractional positions:
Zr (0.138, 0.250, 0.052)
Zr (0.193, 0.750, 0.270)
Zr (0.361, 0.750, 0.949)
Zr (0.639, 0.250, 0.051)
Zr (0.807, 0.250, 0.730)
Zr (0.862, 0.750, 0.948)
Sc (0.026, 0.750, 0.612)
Sc (0.307, 0.250, 0.727)
Sc (0.471, 0.250, 0.390)
Sc (0.529, 0.750, 0.610)
Sc (0.693, 0.750, 0.273)
Sc (0.974, 0.250, 0.388)

Computed properties:
Crystal system   monoclinic
Energy of formation from the pure elements   -0.01 eV/atom
M_tot   0.02 μB per cell

[8]
The following is a DFT calculation (PBE) of a relaxed PaAl crystal.

Cell lengths 3.072, 3.072, 5.314 Å; angles 90.00, 90.00, 120.00 degrees
Fractional positions:
Pa (0.000, 0.000, 0.000)
Al (0.333, 0.667, 0.500)

Computed properties:
Raw total energy   -13.48 eV per cell
Crystal system   hexagonal
M_tot   0.00 μB per cell

[9]
The following is a DFT calculation (PBE) of a relaxed GdPbW crystal.

Cell lengths 4.829, 4.829, 4.829 Å; angles 60.00, 60.00, 60.00 degrees
Fractional positions:
Gd (0.000, 0.000, 0.000)
Pb (0.250, 0.250, 0.250)
W (0.500, 0.500, 0.500)

Computed properties:
Raw total energy   -18.48 eV per cell
Crystal system   cubic
M_tot   0.51 μB per cell

- What is the M_tot in the seventh record?
  0.02 μB per cell